No. 1
Compound: NbAlCuRe
Source: OQMD via LeMat-Bulk
Functional: GGA-PBE
Structure: relaxed

Computed properties:
theoretical density: 10.18 g/cm³
DFT total energy: -30.33 eV/f.u.

Cell: 4.401 4.401 4.401 Å, 60.00 60.00 60.00°
Fractional positions:
Nb1 0.000 0.000 0.000
Al1 0.500 0.500 0.500
Cu1 0.750 0.750 0.750
Re1 0.250 0.250 0.250


No. 2
Compound: TaNbAlCu
Source: OQMD via LeMat-Bulk
Functional: GGA-PBE
Structure: relaxed

Computed properties:
theoretical density: 9.34 g/cm³
DFT total energy: -28.57 eV/f.u.

Cell: 4.508 4.508 4.508 Å, 60.00 60.00 60.00°
Fractional positions:
Ta1 0.000 0.000 0.000
Nb1 0.250 0.250 0.250
Al1 0.500 0.500 0.500
Cu1 0.750 0.750 0.750


No. 3
Compound: NbAlCuTc
Source: OQMD via LeMat-Bulk
Functional: GGA-PBE
Structure: relaxed

Computed properties:
theoretical density: 7.85 g/cm³
DFT total energy: -28.63 eV/f.u.

Cell: 4.384 4.384 4.384 Å, 60.00 60.00 60.00°
Fractional positions:
Nb1 0.000 0.000 0.000
Al1 0.500 0.500 0.500
Cu1 0.750 0.750 0.750
Tc1 0.250 0.250 0.250


No. 4
Compound: NbAlCuW
Source: OQMD via LeMat-Bulk
Functional: GGA-PBE
Structure: relaxed

Computed properties:
theoretical density: 9.79 g/cm³
DFT total energy: -29.83 eV/f.u.

Cell: 4.450 4.450 4.450 Å, 60.00 60.00 60.00°
Fractional positions:
Nb1 0.000 0.000 0.000
Al1 0.500 0.500 0.500
Cu1 0.750 0.750 0.750
W1 0.250 0.250 0.250